Record 1
# K2CrIr, optimized geometry, DFT PBE
data_K2CrIr
_cell_length_a 10.346
_cell_length_b 10.346
_cell_length_c 10.346
_cell_angle_alpha 162.88
_cell_angle_beta 157.52
_cell_angle_gamma 28.39
_symmetry_space_group_name_H-M 'P 1'
_symmetry_Int_Tables_number 1
loop_
_symmetry_equiv_pos_as_xyz
'x,y,z'
loop_
_atom_site_label
_atom_site_type_symbol
_atom_site_fract_x
_atom_site_fract_y
_atom_site_fract_z
_atom_site_occupancy
K1 K 0.604 0.604 0.000 1
K2 K 0.896 0.896 0.000 1
Cr1 Cr 0.250 0.750 0.500 1
Ir1 Ir 0.750 0.250 0.500 1
# Density (g/cm³): 4.3
# Magnetic moment (μB/atom): 0.780
# Space group: No. 71
# Formation enthalpy at 0 K (eV per atom): 0.539
# DOS at the Fermi energy (states/eV per atom): 0.946
# Distance to the lowest polymorph of the same formula (kcal/mol of atoms): 0.97

Record 2
# KCrIr, optimized geometry, DFT PBE
data_KCrIr
_cell_length_a 2.778
_cell_length_b 2.778
_cell_length_c 7.948
_cell_angle_alpha 90.00
_cell_angle_beta 90.00
_cell_angle_gamma 120.00
_symmetry_space_group_name_H-M 'P 1'
_symmetry_Int_Tables_number 1
loop_
_symmetry_equiv_pos_as_xyz
'x,y,z'
loop_
_atom_site_label
_atom_site_type_symbol
_atom_site_fract_x
_atom_site_fract_y
_atom_site_fract_z
_atom_site_occupancy
Ir1 Ir 0.333 0.667 0.292 1
Cr1 Cr 0.000 0.000 0.045 1
K1 K 0.667 0.333 0.663 1
# Density (g/cm³): 8.9
# Magnetic moment (μB/atom): 0.000
# Space group: No. 156
# Formation enthalpy at 0 K (eV per atom): 0.862
# DOS at the Fermi energy (states/eV per atom): 0.817
# Distance to the lowest polymorph of the same formula (kcal/mol of atoms): 8.22

Record 3
# K2CrIr, optimized geometry, DFT PBE
data_K2CrIr
_cell_length_a 3.238
_cell_length_b 4.792
_cell_length_c 5.656
_cell_angle_alpha 90.00
_cell_angle_beta 90.00
_cell_angle_gamma 90.00
_symmetry_space_group_name_H-M 'P 1'
_symmetry_Int_Tables_number 1
loop_
_symmetry_equiv_pos_as_xyz
'x,y,z'
loop_
_atom_site_label
_atom_site_type_symbol
_atom_site_fract_x
_atom_site_fract_y
_atom_site_fract_z
_atom_site_occupancy
Ir1 Ir 0.000 0.500 0.500 1
Cr1 Cr 0.500 0.000 0.500 1
K1 K 0.500 0.500 0.000 1
K2 K 0.000 0.000 0.000 1
# Density (g/cm³): 6.1
# Magnetic moment (μB/atom): 1.019
# Space group: No. 47
# Formation enthalpy at 0 K (eV per atom): 1.045
# DOS at the Fermi energy (states/eV per atom): 0.624
# Distance to the lowest polymorph of the same formula (kcal/mol of atoms): 12.64

What are the final energy values for these records? In order: -0.34036 -0.41638 -0.30315 Ry per atom.